Entry from Alexandria: AcYCoCu after structural relaxation (PBE).

abc: 5.052 5.052 5.052
angles: 60.00 60.00 60.00
Fractional coordinates of all 4 atoms:
Co  0.000  0.000  0.000
Y  0.750  0.750  0.750
Cu  0.500  0.500  0.500
Ac  0.250  0.250  0.250

Output
The symmetry is F-43m.

=====

Entry from Alexandria: Ac2Zn6CoCu after structural relaxation (PBE).

abc: 6.521 6.727 6.508
angles: 61.17 59.97 89.99
Fractional coordinates of all 10 atoms:
Ac  0.217  0.655  0.564
Co  0.500  0.500  0.000
Cu  0.000  0.000  0.000
Ac  0.783  0.345  0.436
Zn  0.323  0.817  0.931
Zn  0.255  0.184  0.068
Zn  0.677  0.183  0.069
Zn  0.254  0.184  0.493
Zn  0.746  0.816  0.507
Zn  0.745  0.816  0.932

Output
The symmetry is P-1.

=====

Entry from Alexandria: AcDyCo4 after structural relaxation (PBE).

abc: 5.203 5.203 5.203
angles: 60.00 60.00 60.00
Fractional coordinates of all 6 atoms:
Dy  0.000  0.000  0.000
Co  0.122  0.626  0.626
Co  0.626  0.626  0.122
Co  0.626  0.122  0.626
Co  0.626  0.626  0.626
Ac  0.250  0.250  0.250

Output
The symmetry is F-43m.

=====

Entry from Alexandria: AcDyCo after structural relaxation (PBE).

abc: 4.149 4.144 12.346
angles: 80.35 90.01 59.97
Fractional coordinates of all 6 atoms:
Dy  0.560  0.751  0.826
Co  0.451  0.970  0.502
Ac  0.742  0.388  0.372
Ac  0.971  0.930  0.061
Co  0.262  0.348  0.931
Dy  0.152  0.567  0.607

Output
As for the energy above the lowest structure with this stoichiometry: 0 kJ/mol of formula units. The symmetry is C2/m.

=====

Entry from Alexandria: AcDyCo after structural relaxation (PBE).

abc: 6.372 4.070 4.070
angles: 120.00 90.00 90.00
Fractional coordinates of all 3 atoms:
Co  0.986  0.000  0.000
Dy  0.777  0.667  0.333
Ac  0.237  0.333  0.667

Output
As for the energy above the lowest structure with this stoichiometry: 11 kJ/mol of formula units. The symmetry is P3m1.

=====

Entry from Alexandria: AcDy4Co after structural relaxation (PBE).

abc: 3.668 6.178 9.082
angles: 79.32 90.00 90.00
Fractional coordinates of all 6 atoms:
Dy  0.001  0.608  0.648
Dy  0.001  0.386  0.348
Dy  0.501  0.900  0.303
Co  0.001  0.997  0.498
Ac  0.501  0.497  0.998
Dy  0.501  0.095  0.693

Output
The symmetry is P2/m.

=====

Calculated values (eV/atom) of formation enthalpy at 0 K for the records, taken in order: 0.01; -0.19; 0.02; -0.05; -0.01; 0.09.